Tc2SbP: optimized geometry, GGA-PBE.

Values from the calculation:
**SG**: R-3m (166)
**Energy above the most stable polymorph in this dataset**: 179 meV/atom
**Raw formation energy**: -4 meV per atom
**DFT total energy**: -30.3 eV/cell
**Total moment**: 0.000 μB/atom

a = 7.3762 Å, b = 7.3762 Å, c = 7.3762 Å
α = 25.65°, β = 25.65°, γ = 25.65°
Fractional positions:
Tc: 0.2330 0.2330 0.2330
Tc: 0.7670 0.7670 0.7670
Sb: 0.0000 0.0000 0.0000
P: 0.5000 0.5000 0.5000

***

TcSb2P: optimized geometry, GGA-PBE.

Values from the calculation:
**SG**: I-4m2 (119)
**Raw formation energy**: 600 meV per atom
**DFT total energy**: -21.6 eV/cell
**Total moment**: 0.000 μB/atom

a = 4.8470 Å, b = 4.8470 Å, c = 4.8470 Å
α = 122.56°, β = 122.56°, γ = 85.63°
Fractional positions:
Tc: 0.0000 0.0000 0.0000
Sb: 0.5000 0.5000 0.0000
Sb: 0.7500 0.2500 0.5000
P: 0.2500 0.7500 0.5000

***

Tc2SbP: optimized geometry, GGA-PBE.

Values from the calculation:
**SG**: C2/m (12)
**Energy above the most stable polymorph in this dataset**: 662 meV/atom
**Raw formation energy**: 478 meV per atom
**DFT total energy**: -28.4 eV/cell
**Total moment**: 0.000 μB/atom

a = 5.0988 Å, b = 5.0988 Å, c = 3.0833 Å
α = 107.28°, β = 107.28°, γ = 106.91°
Fractional positions:
Tc: 0.0000 0.5000 0.0000
Tc: 0.5000 0.0000 0.0000
Sb: 0.0000 0.0000 0.5000
P: 0.5000 0.5000 0.5000

***

Tc2SbP: optimized geometry, GGA-PBE.

Values from the calculation:
**SG**: Fm-3m (225)
**Energy above the most stable polymorph in this dataset**: 231 meV/atom
**Raw formation energy**: 47 meV per atom
**DFT total energy**: -30.1 eV/cell
**Total moment**: 0.000 μB/atom

a = 4.4185 Å, b = 4.4185 Å, c = 4.4185 Å
α = 60.00°, β = 60.00°, γ = 60.00°
Fractional positions:
Tc: 0.2500 0.2500 0.2500
Tc: 0.7500 0.7500 0.7500
Sb: 0.0000 0.0000 0.0000
P: 0.5000 0.5000 0.5000

***

Tc2SbP: optimized geometry, GGA-PBE.

Values from the calculation:
**SG**: P4/mmm (123)
**Energy above the most stable polymorph in this dataset**: 236 meV/atom
**Raw formation energy**: 52 meV per atom
**DFT total energy**: -30.1 eV/cell
**Total moment**: 0.000 μB/atom

a = 4.4097 Å, b = 4.4097 Å, c = 3.1416 Å
α = 90.00°, β = 90.00°, γ = 90.00°
Fractional positions:
Tc: 0.0000 0.5000 0.0000
Tc: 0.5000 0.0000 0.0000
Sb: 0.0000 0.0000 0.5000
P: 0.5000 0.5000 0.5000

***

Tc2SbP: optimized geometry, GGA-PBE.

Values from the calculation:
**SG**: Pmm2 (25)
**Energy above the most stable polymorph in this dataset**: 135 meV/atom
**Raw formation energy**: -49 meV per atom
**DFT total energy**: -30.5 eV/cell
**Total moment**: 0.000 μB/atom

a = 3.0995 Å, b = 4.5674 Å, c = 4.6857 Å
α = 90.00°, β = 90.00°, γ = 90.00°
Fractional positions:
Tc: 0.0000 0.0000 0.0000
Tc: 0.5000 0.5000 0.1979
Sb: 0.5000 0.0000 0.5038
P: 0.0000 0.5000 0.8177